Record 1
5
Lattice="4.5354 0.0000 0.0000 0.0000 4.5354 0.0000 0.0000 0.0000 6.1302" Properties=species:S:1:pos:R:3 comment="HgTe2NO (PBE, optimized geometry)" raw_formation_energy_mev_per_atom=1136 n_ef_per_ev_fu=3.277 crystal_system=tetragonal relative_energy_ev_per_fu=0.17 pbc="T T T"
Hg 0.0000 0.0000 0.0000
Te 0.0000 2.2677 3.0651
Te 2.2677 0.0000 3.0651
N 2.2677 2.2677 0.0000
O 0.0000 0.0000 3.0651


Record 2
10
Lattice="7.3536 0.0000 0.0000 3.6625 6.9620 0.0000 3.6093 1.8315 6.7581" Properties=species:S:1:pos:R:3 comment="Ba2LiTl6Sn (PBE, optimized geometry)" e_form_mev_per_atom=-154 n_ef_per_ev_fu=4.644 crystal_system=triclinic pbc="T T T"
Ba 3.6665 2.5904 1.9800
Ba 10.9590 6.2032 4.7781
Li 0.0000 0.0000 0.0000
Tl 7.2790 6.7503 5.1822
Tl 5.6419 2.8646 5.3947
Tl 5.7249 5.9569 1.3261
Tl 8.9005 2.8367 5.4319
Tl 8.9835 5.9289 1.3634
Tl 7.3464 2.0432 1.5758
Sn 7.3127 4.3968 3.3790


Record 3
10
Lattice="1.8490 -13.6759 0.0000 1.8490 13.6759 0.0000 0.0000 0.0000 5.3051" Properties=species:S:1:pos:R:3 comment="Pm2HoAg2 (PBE, optimized geometry)" e_form_mev_per_atom=-202 n_ef_per_ev_fu=4.709 crystal_system=orthorhombic relative_energy_ev_per_fu=0.00 pbc="T T T"
Pm 1.8490 12.3880 3.9788
Pm 1.8490 7.2654 3.9788
Pm 1.8490 -7.2654 1.3263
Pm 1.8490 -12.3880 1.3263
Ho 1.8490 9.7092 1.3263
Ho 1.8490 -9.7092 3.9788
Ag 1.8490 3.8670 1.3263
Ag 1.8490 1.4001 3.9788
Ag 1.8490 -1.4001 1.3263
Ag 1.8490 -3.8670 3.9788


Record 4
12
Lattice="2.7478 -4.7599 0.0000 2.7478 4.7599 0.0000 -1.8403 0.0000 5.2205" Properties=species:S:1:pos:R:3 comment="Hf2Sc3TaN6 (PBE, optimized geometry)" raw_formation_energy_mev_per_atom=-1779 n_ef_per_ev_fu=4.074 crystal_system=monoclinic pbc="T T T"
Hf 2.7478 3.1711 0.0000
Hf 2.7478 -3.1711 0.0000
Sc -0.9202 0.0000 2.6102
Sc 1.8277 1.5886 2.6102
Sc 1.8277 -1.5886 2.6102
Ta 2.7478 0.0000 0.0000
N -0.0031 1.5809 3.9468
N 0.9187 0.0000 1.2855
N -0.0031 -1.5809 3.9468
N 3.6585 1.5809 1.2737
N 2.7367 0.0000 3.9350
N 3.6585 -1.5809 1.2737


Record 5
8
Lattice="3.4537 0.0000 0.0000 0.0000 3.4537 0.0000 0.0000 0.0000 13.8771" Properties=species:S:1:pos:R:3 comment="Er4IrPd3 (PBE, optimized geometry)" e_form_mev_per_atom=-923 n_ef_per_ev_fu=5.296 crystal_system=tetragonal pbc="T T T"
Er 0.0000 0.0000 1.6335
Er 0.0000 0.0000 5.1846
Er 0.0000 0.0000 8.6925
Er 0.0000 0.0000 12.2436
Ir 1.7268 1.7268 0.0000
Pd 1.7268 1.7268 3.4555
Pd 1.7268 1.7268 6.9386
Pd 1.7268 1.7268 10.4216


Record 6
20
Lattice="4.8310 -7.8342 0.0000 4.8310 7.8342 0.0000 -0.1917 0.0000 9.1347" Properties=species:S:1:pos:R:3 comment="AcPm6DyHo2 (PBE, optimized geometry)" e_form_mev_per_atom=130 n_ef_per_ev_fu=15.112 crystal_system=monoclinic pbc="T T T"
Ac 4.6872 7.3301 6.8511
Ac 4.7831 -7.3301 2.2837
Pm 2.1499 3.4522 2.7730
Pm 4.3905 5.0135 0.5148
Pm 5.1756 5.0135 4.0525
Pm 3.6618 1.8712 8.1969
Pm 2.0541 -3.4522 7.3404
Pm 5.7126 1.8712 5.5052
Pm 3.7577 -1.8712 3.6295
Pm 7.4162 3.4522 1.7943
Pm 5.8084 -1.8712 0.9379
Pm 4.2946 -5.0135 5.0822
Pm 5.0798 -5.0135 8.6199
Pm 7.3203 -3.4522 6.3617
Dy 4.7831 1.2196 2.2837
Dy 4.6872 -1.2196 6.8511
Ho 2.4769 0.9388 5.0865
Ho 2.5727 -0.9388 0.5191
Ho 6.8976 0.9388 8.6156
Ho 6.9934 -0.9388 4.0483


Record 7
7
Lattice="2.2412 -7.3411 0.0000 2.2412 7.3411 0.0000 0.0000 0.0000 4.5122" Properties=species:S:1:pos:R:3 comment="AcAg4Ge2 (PBE, optimized geometry)" e_form_mev_per_atom=-277 n_ef_per_ev_fu=2.444 crystal_system=orthorhombic pbc="T T T"
Ac 0.0000 0.0000 0.0000
Ag 2.2412 4.6241 2.2561
Ag 2.2412 2.7233 0.0000
Ag 2.2412 -2.7233 0.0000
Ag 2.2412 -4.6241 2.2561
Ge 2.2412 1.2797 2.2561
Ge 2.2412 -1.2797 2.2561


Record 8
12
Lattice="3.4752 -6.0090 0.0000 3.4752 6.0090 0.0000 -2.3181 0.0000 6.5466" Properties=species:S:1:pos:R:3 comment="Ce3Ir2Ru (PBE, optimized geometry)" e_form_mev_per_atom=-525 n_ef_per_ev_fu=5.456 crystal_system=monoclinic relative_energy_ev_per_fu=0.35 pbc="T T T"
Ce -0.0119 2.0228 4.9217
Ce 1.1322 0.0000 1.6052
Ce -0.0119 -2.0228 4.9217
Ce 4.6442 2.0228 1.6250
Ce 3.5001 0.0000 4.9414
Ce 4.6442 -2.0228 1.6250
Ir -1.1591 0.0000 3.2733
Ir 2.3162 1.9705 3.2733
Ir 3.4752 0.0000 0.0000
Ir 2.3162 -1.9705 3.2733
Ru 3.4752 3.9992 0.0000
Ru 3.4752 -3.9992 0.0000